(1)
First-principles (GGA-PBE) data for crystalline MgTa3Ge at its relaxed geometry, as listed in Alexandria.

a = 4.7809 Å, b = 4.7809 Å, c = 4.7809 Å
α = 90.00°, β = 90.00°, γ = 90.00°
Positions (direct):
1 Mg 0.0000 0.0000 0.0000
2 Ta 0.0000 0.5000 0.5000
3 Ta 0.5000 0.0000 0.5000
4 Ta 0.5000 0.5000 0.0000
5 Ge 0.5000 0.5000 0.5000

Values from the calculation:
Uncorrected energy = -0.2707 hartree per atom
Energy above the lowest structure with this stoichiometry = 0 kJ/mol of formula units
Mass density = 9.7 Mg/m³
Energy relative to the elements = 0.987 eV per atom
Space-group type = Pm-3m, No. 221

(2)
First-principles (GGA-PBE) data for crystalline Mg2TaGe at its relaxed geometry, as listed in Alexandria.

a = 6.0885 Å, b = 6.0885 Å, c = 6.0885 Å
α = 100.93°, β = 100.93°, γ = 128.38°
Positions (direct):
1 Mg 0.0889 0.6250 0.9639
2 Mg 0.3750 0.3389 0.4639
3 Mg 0.6611 0.1250 0.0361
4 Mg 0.8750 0.9111 0.5361
5 Ta 0.2500 0.7500 0.5000
6 Ta 0.5000 0.5000 0.0000
7 Ge 0.0000 0.0000 0.0000
8 Ge 0.7500 0.2500 0.5000

Values from the calculation:
Uncorrected energy = -0.1640 hartree per atom
Mass density = 6.3 Mg/m³
Energy relative to the elements = 0.452 eV per atom
Space-group type = I-42d, No. 122

(3)
First-principles (GGA-PBE) data for crystalline Mg2TaGeW at its relaxed geometry, as listed in Alexandria.

a = 4.5984 Å, b = 4.5984 Å, c = 4.9166 Å
α = 90.00°, β = 90.00°, γ = 90.00°
Positions (direct):
1 Mg 0.0000 0.5000 0.0000
2 Mg 0.5000 0.0000 0.0000
3 Ta 0.0000 0.0000 0.5000
4 Ge 0.0000 0.0000 0.0000
5 W 0.5000 0.5000 0.5000

Values from the calculation:
Uncorrected energy = -0.1933 hartree per atom
Mass density = 7.8 Mg/m³
Energy relative to the elements = 1.264 eV per atom
Space-group type = P4/mmm, No. 123

(4)
First-principles (GGA-PBE) data for crystalline Tb2MgGe at its relaxed geometry, as listed in Alexandria.

a = 7.1141 Å, b = 7.1141 Å, c = 7.1141 Å
α = 36.39°, β = 36.39°, γ = 36.39°
Positions (direct):
1 Tb 0.2344 0.2344 0.2344
2 Tb 0.7657 0.7657 0.7657
3 Mg 0.0000 0.0000 0.0000
4 Ge 0.5000 0.5000 0.5000

Values from the calculation:
Uncorrected energy = -0.1529 hartree per atom
Mass density = 6.1 Mg/m³
Energy relative to the elements = -0.292 eV per atom
Space-group type = R-3m, No. 166

(5)
First-principles (GGA-PBE) data for crystalline Tb7Mg3Ge8 at its relaxed geometry, as listed in Alexandria.

a = 7.8100 Å, b = 7.1616 Å, c = 14.5580 Å
α = 90.00°, β = 90.01°, γ = 90.00°
Positions (direct):
1 Tb 0.0653 0.0000 0.1587
2 Tb 0.0666 0.0033 0.8429
3 Tb 0.0691 0.3216 0.3808
4 Tb 0.4267 0.6615 0.8752
5 Tb 0.4279 0.6627 0.1253
6 Tb 0.4336 0.9826 0.3475
7 Tb 0.4354 0.9806 0.6513
8 Tb 0.5646 0.4806 0.3487
9 Tb 0.5664 0.4826 0.6525
10 Tb 0.5721 0.1627 0.8747
11 Tb 0.5733 0.1615 0.1248
12 Tb 0.9309 0.8216 0.6192
13 Tb 0.9334 0.5033 0.1571
14 Tb 0.9347 0.5000 0.8413
15 Mg 0.0741 0.3136 0.6255
16 Mg 0.2277 0.3307 0.0006
17 Mg 0.2655 0.6483 0.5017
18 Mg 0.7345 0.1483 0.4983
19 Mg 0.7723 0.8307 0.9994
20 Mg 0.9259 0.8136 0.3745
21 Ge 0.1116 0.7051 0.9997
22 Ge 0.1575 0.0171 0.4997
23 Ge 0.2154 0.6563 0.7112
24 Ge 0.2146 0.6624 0.2904
25 Ge 0.2824 0.3225 0.2162
26 Ge 0.2817 0.3230 0.7834
27 Ge 0.3364 0.9693 0.0005
28 Ge 0.3894 0.2771 0.5003
29 Ge 0.6106 0.7771 0.4997
30 Ge 0.6636 0.4693 0.9995
31 Ge 0.7176 0.8225 0.7838
32 Ge 0.7183 0.8230 0.2166
33 Ge 0.7846 0.1563 0.2888
34 Ge 0.7854 0.1624 0.7096
35 Ge 0.8425 0.5171 0.5003
36 Ge 0.8884 0.2051 0.0003

Values from the calculation:
Uncorrected energy = -0.1788 hartree per atom
Mass density = 7.2 Mg/m³
Energy relative to the elements = -0.748 eV per atom
Space-group type = P2_1, No. 4

(6)
First-principles (GGA-PBE) data for crystalline Tb4Mg5Ge6 at its relaxed geometry, as listed in Alexandria.

a = 10.0912 Å, b = 10.0912 Å, c = 15.5961 Å
α = 90.00°, β = 90.00°, γ = 154.85°
Positions (direct):
1 Tb 0.0106 0.9894 0.5000
2 Tb 0.0332 0.9668 0.7636
3 Tb 0.1627 0.8373 0.2982
4 Tb 0.1740 0.8260 0.9380
5 Tb 0.8260 0.1740 0.4380
6 Tb 0.8373 0.1627 0.7982
7 Tb 0.9668 0.0332 0.2636
8 Tb 0.9894 0.0106 0.0000
9 Mg 0.1555 0.8445 0.6197
10 Mg 0.3030 0.6970 0.6147
11 Mg 0.3384 0.6616 0.2661
12 Mg 0.3485 0.6515 0.9743
13 Mg 0.4423 0.5577 0.6678
14 Mg 0.5577 0.4423 0.1678
15 Mg 0.6515 0.3485 0.4743
16 Mg 0.6616 0.3384 0.7661
17 Mg 0.6970 0.3030 0.1147
18 Mg 0.8445 0.1555 0.1197
19 Ge 0.1139 0.8861 0.1139
20 Ge 0.2290 0.7710 0.4704
21 Ge 0.2360 0.7640 0.7648
22 Ge 0.4284 0.5716 0.1238
23 Ge 0.4323 0.5677 0.4025
24 Ge 0.4445 0.5555 0.8468
25 Ge 0.5555 0.4445 0.3468
26 Ge 0.5677 0.4323 0.9025
27 Ge 0.5716 0.4284 0.6238
28 Ge 0.7640 0.2360 0.2648
29 Ge 0.7710 0.2290 0.9704
30 Ge 0.8861 0.1139 0.6139

Values from the calculation:
Uncorrected energy = -0.1546 hartree per atom
Mass density = 5.9 Mg/m³
Energy relative to the elements = -0.595 eV per atom
Space-group type = Cmc2_1, No. 36

(7)
First-principles (GGA-PBE) data for crystalline Tb4MgGe4 at its relaxed geometry, as listed in Alexandria.

a = 7.2203 Å, b = 14.7538 Å, c = 7.7934 Å
α = 90.00°, β = 90.00°, γ = 90.00°
Positions (direct):
1 Tb 0.0119 0.0950 0.1831
2 Tb 0.0119 0.4050 0.1831
3 Tb 0.1701 0.1270 0.6779
4 Tb 0.1701 0.3730 0.6779
5 Tb 0.3299 0.6270 0.1779
6 Tb 0.3299 0.8730 0.1779
7 Tb 0.4881 0.5950 0.6831
8 Tb 0.4881 0.9050 0.6831
9 Tb 0.5119 0.0950 0.3169
10 Tb 0.5119 0.4050 0.3169
11 Tb 0.6701 0.1270 0.8221
12 Tb 0.6701 0.3730 0.8221
13 Tb 0.8299 0.6270 0.3221
14 Tb 0.8299 0.8730 0.3221
15 Tb 0.9881 0.5950 0.8169
16 Tb 0.9881 0.9050 0.8169
17 Mg 0.1608 0.7500 0.5216
18 Mg 0.3392 0.2500 0.0216
19 Mg 0.6608 0.7500 0.9784
20 Mg 0.8392 0.2500 0.4784
21 Ge 0.0227 0.7500 0.0862
22 Ge 0.1694 0.5356 0.4661
23 Ge 0.1694 0.9644 0.4661
24 Ge 0.2138 0.2500 0.3618
25 Ge 0.2862 0.7500 0.8618
26 Ge 0.3306 0.0356 0.9661
27 Ge 0.3306 0.4644 0.9661
28 Ge 0.4773 0.2500 0.5862
29 Ge 0.5227 0.7500 0.4138
30 Ge 0.6694 0.5356 0.0339
31 Ge 0.6694 0.9644 0.0339
32 Ge 0.7138 0.2500 0.1382
33 Ge 0.7862 0.7500 0.6382
34 Ge 0.8306 0.0356 0.5339
35 Ge 0.8306 0.4644 0.5339
36 Ge 0.9773 0.2500 0.9138

Values from the calculation:
Uncorrected energy = -0.1876 hartree per atom
Mass density = 7.6 Mg/m³
Energy relative to the elements = -0.819 eV per atom
Space-group type = Pnma, No. 62

(8)
First-principles (GGA-PBE) data for crystalline TbMgGe4 at its relaxed geometry, as listed in Alexandria.

a = 5.5894 Å, b = 5.5894 Å, c = 5.5894 Å
α = 60.00°, β = 60.00°, γ = 60.00°
Positions (direct):
1 Tb 0.0000 0.0000 0.0000
2 Mg 0.7500 0.7500 0.7500
3 Ge 0.3756 0.3756 0.3756
4 Ge 0.3756 0.3756 0.8732
5 Ge 0.3756 0.8732 0.3756
6 Ge 0.8732 0.3756 0.3756

Values from the calculation:
Uncorrected energy = -0.1584 hartree per atom
Mass density = 6.4 Mg/m³
Energy relative to the elements = -0.195 eV per atom
Space-group type = F-43m, No. 216

(9)
First-principles (GGA-PBE) data for crystalline Tb2MgGe at its relaxed geometry, as listed in Alexandria.

a = 4.8241 Å, b = 4.8241 Å, c = 4.1508 Å
α = 90.00°, β = 90.00°, γ = 90.00°
Positions (direct):
1 Tb 0.0000 0.5000 0.0000
2 Tb 0.5000 0.0000 0.0000
3 Mg 0.0000 0.0000 0.5000
4 Ge 0.5000 0.5000 0.5000

Values from the calculation:
Uncorrected energy = -0.1569 hartree per atom
Mass density = 7.1 Mg/m³
Energy relative to the elements = -0.400 eV per atom
Space-group type = P4/mmm, No. 123

(10)
First-principles (GGA-PBE) data for crystalline TbMgZnGe at its relaxed geometry, as listed in Alexandria.

a = 4.8885 Å, b = 4.8885 Å, c = 4.8885 Å
α = 60.00°, β = 60.00°, γ = 60.00°
Positions (direct):
1 Tb 0.0000 0.0000 0.0000
2 Mg 0.5000 0.5000 0.5000
3 Zn 0.2500 0.2500 0.2500
4 Ge 0.7500 0.7500 0.7500

Values from the calculation:
Uncorrected energy = -0.1237 hartree per atom
Mass density = 6.5 Mg/m³
Energy relative to the elements = -0.338 eV per atom
Space-group type = F-43m, No. 216

(11)
First-principles (GGA-PBE) data for crystalline TbMg2Zn2Ge2 at its relaxed geometry, as listed in Alexandria.

a = 8.1187 Å, b = 8.1187 Å, c = 8.1187 Å
α = 32.24°, β = 32.24°, γ = 32.24°
Positions (direct):
1 Tb 0.0000 0.0000 0.0000
2 Mg 0.1383 0.1383 0.1383
3 Mg 0.8617 0.8617 0.8617
4 Zn 0.4357 0.4357 0.4357
5 Zn 0.5643 0.5643 0.5643
6 Ge 0.2594 0.2594 0.2594
7 Ge 0.7406 0.7406 0.7406

Values from the calculation:
Uncorrected energy = -0.1122 hartree per atom
Mass density = 5.9 Mg/m³
Energy relative to the elements = -0.253 eV per atom
Space-group type = R-3m, No. 166

(12)
First-principles (GGA-PBE) data for crystalline MgTc2Ge at its relaxed geometry, as listed in Alexandria.

a = 4.3724 Å, b = 4.3724 Å, c = 4.3724 Å
α = 60.00°, β = 60.00°, γ = 60.00°
Positions (direct):
1 Mg 0.0000 0.0000 0.0000
2 Tc 0.2500 0.2500 0.2500
3 Tc 0.7500 0.7500 0.7500
4 Ge 0.5000 0.5000 0.5000

Values from the calculation:
Uncorrected energy = -0.2409 hartree per atom
Energy above the lowest structure with this stoichiometry = 0 kJ/mol of formula units
Mass density = 8.2 Mg/m³
Energy relative to the elements = 0.182 eV per atom
Space-group type = Fm-3m, No. 225

(13)
First-principles (GGA-PBE) data for crystalline Mg2TcGe2 at its relaxed geometry, as listed in Alexandria.

a = 6.9447 Å, b = 6.9447 Å, c = 6.9447 Å
α = 149.04°, β = 149.04°, γ = 44.35°
Positions (direct):
1 Mg 0.2500 0.7500 0.5000
2 Mg 0.7500 0.2500 0.5000
3 Tc 0.0000 0.0000 0.0000
4 Ge 0.4053 0.4053 0.0000
5 Ge 0.5947 0.5947 0.0000

Values from the calculation:
Uncorrected energy = -0.1503 hartree per atom
Energy above the lowest structure with this stoichiometry = 272 kJ/mol of formula units
Mass density = 5.5 Mg/m³
Energy relative to the elements = 0.467 eV per atom
Space-group type = I4/mmm, No. 139

(14)
First-principles (GGA-PBE) data for crystalline MgTcGe2 at its relaxed geometry, as listed in Alexandria.

a = 9.2201 Å, b = 9.2201 Å, c = 9.2201 Å
α = 153.66°, β = 153.66°, γ = 37.59°
Positions (direct):
1 Mg 0.0000 0.0000 0.0000
2 Mg 0.7500 0.2500 0.5000
3 Tc 0.2500 0.7500 0.5000
4 Tc 0.5000 0.5000 0.0000
5 Ge 0.1916 0.6250 0.0666
6 Ge 0.3750 0.4416 0.5666
7 Ge 0.5584 0.1250 0.9334
8 Ge 0.8750 0.8084 0.4334

Values from the calculation:
Uncorrected energy = -0.1822 hartree per atom
Mass density = 5.8 Mg/m³
Energy relative to the elements = 0.342 eV per atom
Space-group type = I-42d, No. 122

(15)
First-principles (GGA-PBE) data for crystalline MgTc3Ge at its relaxed geometry, as listed in Alexandria.

a = 4.4857 Å, b = 4.4857 Å, c = 4.4857 Å
α = 90.00°, β = 90.00°, γ = 90.00°
Positions (direct):
1 Mg 0.0000 0.0000 0.0000
2 Tc 0.0000 0.0000 0.5000
3 Tc 0.0000 0.5000 0.0000
4 Tc 0.5000 0.0000 0.0000
5 Ge 0.5000 0.5000 0.5000

Values from the calculation:
Uncorrected energy = -0.2007 hartree per atom
Energy above the lowest structure with this stoichiometry = 439 kJ/mol of formula units
Mass density = 7.2 Mg/m³
Energy relative to the elements = 2.001 eV per atom
Space-group type = Pm-3m, No. 221

(16)
First-principles (GGA-PBE) data for crystalline Mg2TcGe2 at its relaxed geometry, as listed in Alexandria.

a = 6.6636 Å, b = 6.6636 Å, c = 3.9027 Å
α = 90.00°, β = 90.00°, γ = 90.00°
Positions (direct):
1 Mg 0.1719 0.3281 0.0000
2 Mg 0.3281 0.8281 0.0000
3 Mg 0.6719 0.1719 0.0000
4 Mg 0.8281 0.6719 0.0000
5 Tc 0.0000 0.0000 0.5000
6 Tc 0.5000 0.5000 0.5000
7 Ge 0.1374 0.6374 0.5000
8 Ge 0.3626 0.1374 0.5000
9 Ge 0.6374 0.8626 0.5000
10 Ge 0.8626 0.3626 0.5000

Values from the calculation:
Uncorrected energy = -0.1710 hartree per atom
Energy above the lowest structure with this stoichiometry = 0 kJ/mol of formula units
Mass density = 5.6 Mg/m³
Energy relative to the elements = -0.096 eV per atom
Space-group type = P4/mbm, No. 127

(17)
First-principles (GGA-PBE) data for crystalline MgTc3Ge at its relaxed geometry, as listed in Alexandria.

a = 4.5919 Å, b = 4.5919 Å, c = 4.5919 Å
α = 90.00°, β = 90.00°, γ = 90.00°
Positions (direct):
1 Mg 0.0000 0.0000 0.0000
2 Tc 0.0000 0.5000 0.5000
3 Tc 0.5000 0.0000 0.5000
4 Tc 0.5000 0.5000 0.0000
5 Ge 0.5000 0.5000 0.5000

Values from the calculation:
Uncorrected energy = -0.2341 hartree per atom
Energy above the lowest structure with this stoichiometry = 0 kJ/mol of formula units
Mass density = 6.7 Mg/m³
Energy relative to the elements = 1.091 eV per atom
Space-group type = Pm-3m, No. 221

(18)
First-principles (GGA-PBE) data for crystalline Mg2TcGe2 at its relaxed geometry, as listed in Alexandria.

a = 7.0724 Å, b = 7.0724 Å, c = 3.5996 Å
α = 90.00°, β = 90.00°, γ = 90.00°
Positions (direct):
1 Mg 0.1420 0.3580 0.0000
2 Mg 0.3580 0.8580 0.0000
3 Mg 0.6420 0.1420 0.0000
4 Mg 0.8580 0.6420 0.0000
5 Tc 0.0000 0.0000 0.0000
6 Tc 0.5000 0.5000 0.0000
7 Ge 0.1636 0.6636 0.5000
8 Ge 0.3364 0.1636 0.5000
9 Ge 0.6636 0.8364 0.5000
10 Ge 0.8364 0.3364 0.5000

Values from the calculation:
Uncorrected energy = -0.1514 hartree per atom
Energy above the lowest structure with this stoichiometry = 258 kJ/mol of formula units
Mass density = 5.4 Mg/m³
Energy relative to the elements = 0.439 eV per atom
Space-group type = P4/mbm, No. 127

(19)
First-principles (GGA-PBE) data for crystalline Mg2TcGe2 at its relaxed geometry, as listed in Alexandria.

a = 8.1058 Å, b = 8.1058 Å, c = 8.1058 Å
α = 154.57°, β = 154.57°, γ = 36.27°
Positions (direct):
1 Mg 0.0933 0.0933 0.0000
2 Mg 0.9067 0.9067 0.0000
3 Tc 0.5000 0.5000 0.0000
4 Ge 0.2500 0.7500 0.5000
5 Ge 0.7500 0.2500 0.5000

Values from the calculation:
Uncorrected energy = -0.1496 hartree per atom
Energy above the lowest structure with this stoichiometry = 282 kJ/mol of formula units
Mass density = 4.9 Mg/m³
Energy relative to the elements = 0.488 eV per atom
Space-group type = I4/mmm, No. 139

(20)
First-principles (GGA-PBE) data for crystalline MgTcGe2 at its relaxed geometry, as listed in Alexandria.

a = 3.2068 Å, b = 3.2068 Å, c = 6.5244 Å
α = 90.00°, β = 90.00°, γ = 90.00°
Positions (direct):
1 Mg 0.0000 0.0000 0.0000
2 Tc 0.0000 0.0000 0.5000
3 Ge 0.5000 0.5000 0.2886
4 Ge 0.5000 0.5000 0.7114

Values from the calculation:
Uncorrected energy = -0.1986 hartree per atom
Mass density = 6.6 Mg/m³
Energy relative to the elements = -0.105 eV per atom
Space-group type = P4/mmm, No. 123